The following is a DFT calculation (GGA+U) of crystalline Li2CrCl2O at its relaxed geometry.

As for the crystal system: orthorhombic. The calculation puts the total energy at -59.0 eV/cell. The calculation puts the magnetic moment at 4.00 μB/f.u.

abc: 6.5014 6.5014 5.8504
angles: 90.00 90.00 61.60
Last column: nearest neighbours and their distance in Å.
Fractional positions:
Li (0.0625, 0.6567, 0.5000)  1 O 1.94
Li (0.3433, 0.9375, 0.5000)  1 O 1.94
Li (0.6567, 0.0625, 0.0000)  1 O 1.94
Li (0.9375, 0.3433, 0.0000)  1 O 1.94
Cr (0.3849, 0.6151, 0.0789)  2 O 1.97-1.98
Cr (0.6151, 0.3849, 0.5789)  2 O 1.97-1.98
Cl (0.0089, 0.3196, 0.4084)  3 Li 2.42-2.46, 1 Cr 2.59
Cl (0.3196, 0.0089, 0.9084)  3 Li 2.42-2.46, 1 Cr 2.59
Cl (0.6804, 0.9911, 0.4084)  3 Li 2.42-2.46, 1 Cr 2.59
Cl (0.9911, 0.6804, 0.9084)  3 Li 2.42-2.46, 1 Cr 2.59
O (0.3563, 0.6437, 0.4157)  2 Li 1.94, 2 Cr 1.97-1.98
O (0.6437, 0.3563, 0.9157)  2 Li 1.94, 2 Cr 1.97-1.98